(1)
This record from the Alexandria database describes an optimized crystal structure of KMg2SbCl8. The functional is PBE.

Computed properties:
Theoretical density: 2.204 g/cm³
Density of states at the Fermi level: 0.0 states/eV/f.u.
Total DFT energy (no corrections): -40.69 eV/cell
Formation energy (no corrections): -1.459 eV/atom
Volume: 31.0 A^3/atom

a b c (Å): 10.7523 10.7523 10.7523
angles (deg): 35.33 35.33 35.33
Element x y z (fractional)
K  0.0000  0.0000  0.0000
Mg  0.2456  0.2456  0.2456
Mg  0.7544  0.7544  0.7544
Sb  0.5000  0.5000  0.5000
Cl  0.1236  0.7860  0.4327
Cl  0.2140  0.5673  0.8764
Cl  0.3210  0.3210  0.3210
Cl  0.4327  0.1236  0.7860
Cl  0.5673  0.8764  0.2140
Cl  0.6790  0.6790  0.6790
Cl  0.7860  0.4327  0.1236
Cl  0.8764  0.2140  0.5673

(2)
This record from the Alexandria database describes an optimized crystal structure of TbPmDy2P4. The functional is PBE.

Computed properties:
Theoretical density: 6.682 g/cm³
Density of states at the Fermi level: 0.8 states/eV/f.u.
Total DFT energy (no corrections): -53.00 eV/cell
ΔE_f: -1.598 eV/atom
Volume: 23.4 A^3/atom

a b c (Å): 7.0018 4.0463 7.0038
angles (deg): 90.00 109.47 90.00
Element x y z (fractional)
Tb  0.0000  0.0000  0.0000
Pm  0.0000  0.5000  0.5000
Dy  0.5000  0.0000  0.5000
Dy  0.5000  0.5000  0.0000
P  0.2533  0.5000  0.2483
P  0.2556  0.0000  0.7546
P  0.7444  0.0000  0.2454
P  0.7467  0.5000  0.7517